Record 1
Entry from the Alexandria database: an optimized crystal structure of CeMg (PBEsol).

Output
Total moment, μB/atom: 0.000
Symmetry: Pmma (51)
VASP energy, eV per atom: -4.135
DOS at the Fermi energy, states/eV/cell: 6.5

```
data_CeMg
_space_group_name_H-M_alt 'P 1'
_space_group_IT_number 1
_cell_length_a 5.096
_cell_length_b 2.988
_cell_length_c 6.195
_cell_angle_alpha 90.00
_cell_angle_beta 90.00
_cell_angle_gamma 90.00
loop_
_space_group_symop_operation_xyz
'x,y,z'
loop_
_atom_site_label
_atom_site_type_symbol
_atom_site_fract_x
_atom_site_fract_y
_atom_site_fract_z
_atom_site_occupancy
Ce1 Ce 0.250 0.000 0.103 1
Ce2 Ce 0.750 0.000 0.897 1
Mg1 Mg 0.250 0.500 0.623 1
Mg2 Mg 0.750 0.500 0.377 1
```

Record 2
Entry from the Alexandria database: an optimized crystal structure of LiAg2Bi (PBEsol).

Output
Total moment, μB/atom: 0.000
Symmetry: Fm-3m (225)
VASP energy, eV per atom: -3.347
DOS at the Fermi energy, states/eV/cell: 2.3

```
data_LiAg2Bi
_space_group_name_H-M_alt 'P 1'
_space_group_IT_number 1
_cell_length_a 6.804
_cell_length_b 6.804
_cell_length_c 6.804
_cell_angle_alpha 90.00
_cell_angle_beta 90.00
_cell_angle_gamma 90.00
loop_
_space_group_symop_operation_xyz
'x,y,z'
loop_
_atom_site_label
_atom_site_type_symbol
_atom_site_fract_x
_atom_site_fract_y
_atom_site_fract_z
_atom_site_occupancy
Li1 Li 0.000 0.000 0.000 1
Li2 Li 0.000 0.500 0.500 1
Li3 Li 0.500 0.000 0.500 1
Li4 Li 0.500 0.500 0.000 1
Ag1 Ag 0.250 0.250 0.250 1
Ag2 Ag 0.250 0.250 0.750 1
Ag3 Ag 0.250 0.750 0.250 1
Ag4 Ag 0.250 0.750 0.750 1
Ag5 Ag 0.750 0.250 0.250 1
Ag6 Ag 0.750 0.250 0.750 1
Ag7 Ag 0.750 0.750 0.250 1
Ag8 Ag 0.750 0.750 0.750 1
Bi1 Bi 0.000 0.000 0.500 1
Bi2 Bi 0.000 0.500 0.000 1
Bi3 Bi 0.500 0.000 0.000 1
Bi4 Bi 0.500 0.500 0.500 1
```

Record 3
Entry from the Alexandria database: an optimized crystal structure of Cs3InBr6 (PBEsol).

Output
Total moment, μB/atom: 0.000
Symmetry: Fm-3m (225)
DOS at the Fermi energy, states/eV/cell: 0.0
Formation energy (no corrections), eV per atom: -1.385

```
data_Cs3InBr6
_space_group_name_H-M_alt 'P 1'
_space_group_IT_number 1
_cell_length_a 8.429
_cell_length_b 8.429
_cell_length_c 8.429
_cell_angle_alpha 60.00
_cell_angle_beta 60.00
_cell_angle_gamma 60.00
loop_
_space_group_symop_operation_xyz
'x,y,z'
loop_
_atom_site_label
_atom_site_type_symbol
_atom_site_fract_x
_atom_site_fract_y
_atom_site_fract_z
_atom_site_occupancy
Cs1 Cs 0.000 0.000 0.000 1
Cs2 Cs 0.250 0.250 0.250 1
Cs3 Cs 0.750 0.750 0.750 1
In1 In 0.500 0.500 0.500 1
Br1 Br 0.276 0.276 0.724 1
Br2 Br 0.276 0.724 0.276 1
Br3 Br 0.276 0.724 0.724 1
Br4 Br 0.724 0.276 0.276 1
Br5 Br 0.724 0.276 0.724 1
Br6 Br 0.724 0.724 0.276 1
```

Record 4
Entry from the Alexandria database: an optimized crystal structure of ZnHgAu (PBEsol).

Output
Total moment, μB/atom: 0.000
Symmetry: F-43m (216)
VASP energy, eV per atom: -1.835
DOS at the Fermi energy, states/eV/cell: 3.6

```
data_ZnHgAu
_space_group_name_H-M_alt 'P 1'
_space_group_IT_number 1
_cell_length_a 6.287
_cell_length_b 6.287
_cell_length_c 6.287
_cell_angle_alpha 90.00
_cell_angle_beta 90.00
_cell_angle_gamma 90.00
loop_
_space_group_symop_operation_xyz
'x,y,z'
loop_
_atom_site_label
_atom_site_type_symbol
_atom_site_fract_x
_atom_site_fract_y
_atom_site_fract_z
_atom_site_occupancy
Zn1 Zn 0.000 0.000 0.000 1
Zn2 Zn 0.000 0.500 0.500 1
Zn3 Zn 0.500 0.000 0.500 1
Zn4 Zn 0.500 0.500 0.000 1
Hg1 Hg 0.250 0.250 0.750 1
Hg2 Hg 0.250 0.750 0.250 1
Hg3 Hg 0.750 0.250 0.250 1
Hg4 Hg 0.750 0.750 0.750 1
Au1 Au 0.000 0.000 0.500 1
Au2 Au 0.000 0.500 0.000 1
Au3 Au 0.500 0.000 0.000 1
Au4 Au 0.500 0.500 0.500 1
```

Record 5
Entry from the Alexandria database: an optimized crystal structure of Ba2B5HO10 (PBEsol).

Output
Total moment, μB/atom: 0.000
Symmetry: P2_1/c (14)
VASP energy, eV per atom: -7.864
DOS at the Fermi energy, states/eV/cell: 0.0

```
data_Ba2B5HO10
_space_group_name_H-M_alt 'P 1'
_space_group_IT_number 1
_cell_length_a 6.655
_cell_length_b 8.664
_cell_length_c 14.797
_cell_angle_alpha 90.00
_cell_angle_beta 93.89
_cell_angle_gamma 90.00
loop_
_space_group_symop_operation_xyz
'x,y,z'
loop_
_atom_site_label
_atom_site_type_symbol
_atom_site_fract_x
_atom_site_fract_y
_atom_site_fract_z
_atom_site_occupancy
Ba1 Ba 0.008 0.155 0.106 1
Ba2 Ba 0.008 0.345 0.606 1
Ba3 Ba 0.451 0.005 0.724 1
Ba4 Ba 0.451 0.495 0.224 1
Ba5 Ba 0.549 0.505 0.776 1
Ba6 Ba 0.549 0.995 0.276 1
Ba7 Ba 0.992 0.655 0.394 1
Ba8 Ba 0.992 0.845 0.894 1
B1 B 0.038 0.667 0.688 1
B2 B 0.038 0.833 0.188 1
B3 B 0.065 0.051 0.320 1
B4 B 0.065 0.449 0.820 1
B5 B 0.295 0.234 0.890 1
B6 B 0.295 0.266 0.390 1
B7 B 0.329 0.686 0.575 1
B8 B 0.329 0.814 0.075 1
B9 B 0.451 0.200 0.052 1
B10 B 0.451 0.300 0.552 1
B11 B 0.549 0.700 0.448 1
B12 B 0.549 0.800 0.948 1
B13 B 0.671 0.186 0.925 1
B14 B 0.671 0.314 0.425 1
B15 B 0.705 0.734 0.610 1
B16 B 0.705 0.766 0.110 1
B17 B 0.935 0.551 0.180 1
B18 B 0.935 0.949 0.680 1
B19 B 0.962 0.167 0.812 1
B20 B 0.962 0.333 0.312 1
H1 H 0.084 0.522 0.065 1
H2 H 0.084 0.978 0.565 1
H3 H 0.916 0.022 0.435 1
H4 H 0.916 0.478 0.935 1
O1 O 0.061 0.676 0.221 1
O2 O 0.061 0.824 0.721 1
O3 O 0.067 0.040 0.619 1
O4 O 0.067 0.460 0.119 1
O5 O 0.134 0.554 0.750 1
O6 O 0.134 0.946 0.250 1
O7 O 0.138 0.653 0.596 1
O8 O 0.138 0.847 0.096 1
O9 O 0.173 0.125 0.835 1
O10 O 0.173 0.375 0.335 1
O11 O 0.243 0.107 0.372 1
O12 O 0.243 0.393 0.872 1
O13 O 0.289 0.199 0.988 1
O14 O 0.289 0.301 0.488 1
O15 O 0.355 0.696 0.482 1
O16 O 0.355 0.804 0.982 1
O17 O 0.429 0.200 0.141 1
O18 O 0.429 0.300 0.641 1
O19 O 0.487 0.711 0.636 1
O20 O 0.487 0.789 0.136 1
O21 O 0.513 0.211 0.864 1
O22 O 0.513 0.289 0.364 1
O23 O 0.571 0.700 0.359 1
O24 O 0.571 0.800 0.859 1
O25 O 0.645 0.196 0.018 1
O26 O 0.645 0.304 0.518 1
O27 O 0.711 0.699 0.512 1
O28 O 0.711 0.801 0.012 1
O29 O 0.757 0.607 0.128 1
O30 O 0.757 0.893 0.628 1
O31 O 0.827 0.625 0.665 1
O32 O 0.827 0.875 0.165 1
O33 O 0.862 0.153 0.904 1
O34 O 0.862 0.347 0.404 1
O35 O 0.866 0.054 0.750 1
O36 O 0.866 0.446 0.250 1
O37 O 0.933 0.540 0.881 1
O38 O 0.933 0.960 0.381 1
O39 O 0.939 0.176 0.279 1
O40 O 0.939 0.324 0.779 1
```

Record 6
Entry from the Alexandria database: an optimized crystal structure of SbP2CO (PBEsol).

Output
Total moment, μB/atom: 0.000
Symmetry: P4/mmm (123)
DOS at the Fermi energy, states/eV/cell: 2.7
Formation energy (no corrections), eV per atom: 0.809

```
data_SbP2CO
_space_group_name_H-M_alt 'P 1'
_space_group_IT_number 1
_cell_length_a 4.174
_cell_length_b 4.174
_cell_length_c 3.591
_cell_angle_alpha 90.00
_cell_angle_beta 90.00
_cell_angle_gamma 90.00
loop_
_space_group_symop_operation_xyz
'x,y,z'
loop_
_atom_site_label
_atom_site_type_symbol
_atom_site_fract_x
_atom_site_fract_y
_atom_site_fract_z
_atom_site_occupancy
Sb1 Sb 0.000 0.000 0.000 1
P1 P 0.000 0.500 0.500 1
P2 P 0.500 0.000 0.500 1
C1 C 0.500 0.500 0.500 1
O1 O 0.500 0.500 0.000 1
```

Record 7
Entry from the Alexandria database: an optimized crystal structure of ZnCrMo2Br (PBEsol).

Output
Total moment, μB/atom: 0.214
Symmetry: P4/mmm (123)
DOS at the Fermi energy, states/eV/cell: 5.1
Formation energy (no corrections), eV per atom: 1.484

```
data_ZnCrMo2Br
_space_group_name_H-M_alt 'P 1'
_space_group_IT_number 1
_cell_length_a 4.557
_cell_length_b 4.557
_cell_length_c 4.341
_cell_angle_alpha 90.00
_cell_angle_beta 90.00
_cell_angle_gamma 90.00
loop_
_space_group_symop_operation_xyz
'x,y,z'
loop_
_atom_site_label
_atom_site_type_symbol
_atom_site_fract_x
_atom_site_fract_y
_atom_site_fract_z
_atom_site_occupancy
Zn1 Zn 0.000 0.000 0.000 1
Cr1 Cr 0.500 0.500 0.000 1
Mo1 Mo 0.000 0.500 0.500 1
Mo2 Mo 0.500 0.000 0.500 1
Br1 Br 0.500 0.500 0.500 1
```

Record 8
Entry from the Alexandria database: an optimized crystal structure of Pm2CdSi (PBEsol).

Output
Total moment, μB/atom: 0.000
Symmetry: Fm-3m (225)
DOS at the Fermi energy, states/eV/cell: 9.3
Formation energy (no corrections), eV per atom: -0.439

```
data_Pm2CdSi
_space_group_name_H-M_alt 'P 1'
_space_group_IT_number 1
_cell_length_a 7.287
_cell_length_b 7.287
_cell_length_c 7.287
_cell_angle_alpha 90.00
_cell_angle_beta 90.00
_cell_angle_gamma 90.00
loop_
_space_group_symop_operation_xyz
'x,y,z'
loop_
_atom_site_label
_atom_site_type_symbol
_atom_site_fract_x
_atom_site_fract_y
_atom_site_fract_z
_atom_site_occupancy
Pm1 Pm 0.250 0.250 0.250 1
Pm2 Pm 0.250 0.250 0.750 1
Pm3 Pm 0.250 0.750 0.250 1
Pm4 Pm 0.250 0.750 0.750 1
Pm5 Pm 0.750 0.250 0.250 1
Pm6 Pm 0.750 0.250 0.750 1
Pm7 Pm 0.750 0.750 0.250 1
Pm8 Pm 0.750 0.750 0.750 1
Cd1 Cd 0.000 0.000 0.000 1
Cd2 Cd 0.000 0.500 0.500 1
Cd3 Cd 0.500 0.000 0.500 1
Cd4 Cd 0.500 0.500 0.000 1
Si1 Si 0.000 0.000 0.500 1
Si2 Si 0.000 0.500 0.000 1
Si3 Si 0.500 0.000 0.000 1
Si4 Si 0.500 0.500 0.500 1
```

Which density belongs to each record? In order, 5.8 9.1 3.9 12.4 3.8 5.6 7.2 7.4 g/cm³.